Below is a geometry-optimized Pm2DyC2Br2 structure, with properties calculated at the PBE level.

Geometry as POSCAR:
```
Pm2DyC2Br2
1.0
-2.433 0.186 -3.829
-1.524 -4.208 0.764
-4.015 4.899 5.480
Pm C Dy Br
2 2 1 2
direct
0.600 0.600 0.200
0.400 0.400 0.800
0.000 0.500 0.000
0.500 0.000 0.000
0.000 0.000 0.000
0.808 0.808 0.617
0.192 0.192 0.383
```

Calculated values
D(E_F) ... 0.151 states/eV per atom
Symmetry ... I4/mmm, No. 139
Volume ... 22.79 Å³/atom
Uncorrected formation energy ... -4.43 eV/f.u.


Below is a geometry-optimized BeAl2Cu structure, with properties calculated at the PBE level.

Geometry as POSCAR:
```
BeAl2Cu
1.0
4.639 -0.011 0.000
1.658 4.333 0.000
-3.149 -2.161 2.634
Cu Al Be
1 2 1
direct
0.750 0.250 0.500
0.000 0.000 0.000
0.250 0.750 0.500
0.500 0.500 0.000
```

Calculated values
D(E_F) ... 0.418 states/eV per atom
Symmetry ... I-4m2, No. 119
Volume ... 13.25 Å³/atom
Formation enthalpy at 0 K ... 67 meV/atom